# Li2PmOsN4

Li2PmOsN4 after structural relaxation (PBE, Alexandria).

abc: 5.492 5.085 5.085
angles: 80.41 57.32 57.32
Sites, in units of the cell vectors:
N 0.610 0.538 0.852
N 0.390 0.148 0.462
Os 0.000 0.500 0.500
Pm 0.000 0.000 0.000
Li 0.500 0.250 0.750
N 0.000 0.852 0.538
N 0.000 0.462 0.148
Li 0.500 0.750 0.250

- DFT total energy (eV per cell) = -56.96

# Tb2TlPb3

Tb2TlPb3 after structural relaxation (PBE, Alexandria).

abc: 4.459 9.209 9.209
angles: 102.33 90.00 90.00
Sites, in units of the cell vectors:
Pb 0.493 0.718 0.084
Pb 0.493 0.084 0.718
Tb 0.993 0.213 0.523
Tl 0.993 0.593 0.593
Tb 0.493 0.477 0.787
Pb 0.993 0.282 0.916
Tb 0.993 0.523 0.213
Pb 0.993 0.867 0.867
Tb 0.493 0.787 0.477
Pb 0.993 0.916 0.282
Pb 0.493 0.133 0.133
Tl 0.493 0.407 0.407

- energy above the most stable polymorph in this dataset (eV per atom) = 0.175

# DyTh2Ge

DyTh2Ge after structural relaxation (PBE, Alexandria).

abc: 3.828 3.828 10.702
angles: 79.70 79.70 60.00
Last column: magnetic moment on the atom in μB.
Sites, in units of the cell vectors:
Th 0.893 0.893 0.320  0.06
Th 0.107 0.107 0.680  0.06
Dy 0.000 0.000 0.000  0.14
Ge 0.500 0.500 0.500  0.00

- energy above the most stable polymorph in this dataset (eV per atom) = 0.381

# Cr5C

Cr5C after structural relaxation (PBE, Alexandria).

abc: 4.590 4.590 4.590
angles: 60.00 60.00 60.00
Sites, in units of the cell vectors:
Cr 0.879 0.374 0.374
Cr 0.750 0.750 0.750
Cr 0.374 0.879 0.374
C 0.000 0.000 0.000
Cr 0.374 0.374 0.879
Cr 0.374 0.374 0.374

- energy above the most stable polymorph in this dataset (eV per atom) = 0.986

# LiCaPRh2

LiCaPRh2 after structural relaxation (PBE, Alexandria).

abc: 4.459 4.459 4.553
angles: 90.00 90.00 90.00
Sites, in units of the cell vectors:
Li 0.000 0.000 0.500
Ca 0.500 0.500 0.500
Rh 0.000 0.500 0.000
Rh 0.500 0.000 0.000
P 0.000 0.000 0.000

- DFT total energy (eV per cell) = -26.84

# AlTl2Cd

AlTl2Cd after structural relaxation (PBE, Alexandria).

abc: 3.704 3.704 7.541
angles: 90.00 90.00 90.00
Sites, in units of the cell vectors:
Cd 0.500 0.500 0.750
Tl 0.000 0.000 0.492
Al 0.500 0.500 0.250
Tl 0.000 0.000 0.008

- DFT total energy (eV per cell) = -8.62

# TeHWN2

TeHWN2 after structural relaxation (PBE, Alexandria).

abc: 4.081 3.625 4.081
angles: 90.00 90.00 90.00
Sites, in units of the cell vectors:
N 0.500 0.000 0.000
H 0.000 0.500 0.000
W 0.000 0.000 0.000
Te 0.500 0.500 0.500
N 0.000 0.000 0.500

- energy above the most stable polymorph in this dataset (eV per atom) = 0.000

# BaAc2Ce

BaAc2Ce after structural relaxation (PBE, Alexandria).

abc: 3.905 3.905 11.384
angles: 90.00 90.00 90.00
Last column: magnetic moment on the atom in μB.
Sites, in units of the cell vectors:
Ce 0.500 0.500 0.000  0.64
Ac 0.000 0.000 0.215  0.01
Ac 0.000 0.000 0.785  0.01
Ba 0.500 0.500 0.500  -0.01

- energy above the most stable polymorph in this dataset (eV per atom) = 0.000

# Ni4Se2S

Ni4Se2S after structural relaxation (PBE, Alexandria).

abc: 4.285 4.285 6.791
angles: 71.61 71.61 90.00
Sites, in units of the cell vectors:
Ni 0.827 0.827 0.346
Se 0.639 0.639 0.721
Ni 0.173 0.173 0.654
Se 0.361 0.361 0.279
Ni 0.500 0.000 0.000
S 0.000 0.000 0.000
Ni 0.000 0.500 0.000

- energy above the most stable polymorph in this dataset (eV per atom) = 0.301

# SnAsHOsBr

SnAsHOsBr after structural relaxation (PBE, Alexandria).

abc: 8.360 3.275 7.074
angles: 90.00 97.66 90.00
Sites, in units of the cell vectors:
Br 0.032 0.000 0.317
H 0.628 0.000 0.279
Os 0.544 0.000 0.807
As 0.383 0.000 0.081
Sn 0.784 0.000 0.565
Sn 0.784 0.500 0.065
As 0.383 0.500 0.581
Br 0.032 0.500 0.817
Os 0.544 0.500 0.307
H 0.628 0.500 0.779

- energy above the most stable polymorph in this dataset (eV per atom) = 0.118

# MgCd2Bi2

MgCd2Bi2 after structural relaxation (PBE, Alexandria).

abc: 8.148 8.148 4.363
angles: 90.00 90.00 90.00
Sites, in units of the cell vectors:
Bi 0.667 0.167 0.000
Cd 0.137 0.637 0.500
Cd 0.363 0.137 0.500
Bi 0.833 0.667 0.000
Mg 0.500 0.500 0.000
Mg 0.000 0.000 0.000
Bi 0.167 0.333 0.000
Bi 0.333 0.833 0.000
Cd 0.637 0.863 0.500
Cd 0.863 0.363 0.500

- energy above the most stable polymorph in this dataset (eV per atom) = 0.072

# K3SrGe2O6

K3SrGe2O6 after structural relaxation (PBE, Alexandria).

abc: 6.243 6.243 7.391
angles: 90.00 90.00 120.00
Last column: magnetic moment on the atom in μB.
Sites, in units of the cell vectors:
Sr 0.000 0.000 0.500  0.01
O 0.649 0.824 0.283  0.04
O 0.824 0.176 0.717  0.04
O 0.824 0.649 0.717  0.04
Ge 0.667 0.333 0.763  0.07
K 0.667 0.333 0.290  0.00
O 0.176 0.351 0.283  0.04
K 0.000 0.000 0.000  0.00
O 0.351 0.176 0.717  0.04
O 0.176 0.824 0.283  0.04
K 0.333 0.667 0.710  0.00
Ge 0.333 0.667 0.237  0.07

- DFT total energy (eV per cell) = -64.85